This record from Alexandria via LeMat-Bulk describes crystalline SiW2I at its relaxed geometry. The functional is PBE.

Cell and atoms, written as POSCAR:
```
SiW2I
1.0
-3.764 -1.680 1.593
2.253 -1.959 3.258
-1.774 5.050 7.260
W Si I
4 2 2
Cartesian
-2.831 0.758 9.432
-1.719 2.268 7.522
-2.216 0.101 3.092
0.196 -0.305 4.176
-0.138 0.636 6.472
-0.755 -1.819 2.425
0.000 0.000 0.000
-3.147 0.775 5.639
```

density of states at the Fermi level	1.05	states/eV per atom
formation energy (no corrections)	1.18	eV/atom
relative energy among the computed polymorphs	236	meV/atom